The following is a DFT calculation (GGA-PBE) of a relaxed structure of BaNp3S6. Values from VASP.

Structure (Quantum ESPRESSO input):
```
&SYSTEM
  ibrav = 0, nat = 20, ntyp = 3
/
ATOMIC_SPECIES
Ba 137.33 Ba.upf
Np 237.00 Np.upf
S 32.06 S.upf
CELL_PARAMETERS angstrom
11.7921 0.0000 0.0000
0.0000 4.1084 0.0000
-4.1773 0.0000 11.2159
ATOMIC_POSITIONS crystal
Ba 0.1138 0.2500 0.3673
Ba 0.8862 0.7500 0.6327
Np 0.1561 0.2500 0.0326
Np 0.2692 0.7500 0.7288
Np 0.4749 0.7500 0.3595
Np 0.5251 0.2500 0.6405
Np 0.7308 0.2500 0.2712
Np 0.8439 0.7500 0.9674
S 0.0676 0.7500 0.1371
S 0.1062 0.2500 0.6355
S 0.2344 0.7500 0.9371
S 0.3283 0.2500 0.2575
S 0.3560 0.7500 0.5293
S 0.4228 0.2500 0.8058
S 0.5772 0.7500 0.1942
S 0.6440 0.2500 0.4707
S 0.6716 0.7500 0.7425
S 0.7656 0.2500 0.0629
S 0.8938 0.7500 0.3645
S 0.9324 0.2500 0.8629
```

=====

The following is a DFT calculation (GGA-PBE) of a relaxed structure of Ba3Np2S6. Values from VASP.

Structure (Quantum ESPRESSO input):
```
&SYSTEM
  ibrav = 0, nat = 11, ntyp = 3
/
ATOMIC_SPECIES
Ba 137.33 Ba.upf
Np 237.00 Np.upf
S 32.06 S.upf
CELL_PARAMETERS angstrom
-2.6258 2.6258 12.3839
2.6258 -2.6258 12.3839
2.6258 2.6258 -12.3839
ATOMIC_POSITIONS crystal
Ba 0.0000 0.0000 0.0000
Ba 0.1751 0.1751 0.0000
Ba 0.8249 0.8249 0.0000
Np 0.4035 0.4035 0.0000
Np 0.5965 0.5965 0.0000
S 0.0810 0.5810 0.5000
S 0.2994 0.2994 0.0000
S 0.4190 0.9190 0.5000
S 0.5810 0.0810 0.5000
S 0.7006 0.7006 0.0000
S 0.9190 0.4190 0.5000
```

=====

The following is a DFT calculation (GGA-PBE) of a relaxed structure of Ba3Np2S7. Values from VASP.

Structure (Quantum ESPRESSO input):
```
&SYSTEM
  ibrav = 0, nat = 12, ntyp = 3
/
ATOMIC_SPECIES
Ba 137.33 Ba.upf
Np 237.00 Np.upf
S 32.06 S.upf
CELL_PARAMETERS angstrom
2.6382 -12.8855 0.0000
2.6382 12.8855 0.0000
0.0000 0.0000 5.1220
ATOMIC_POSITIONS crystal
Ba 0.0000 0.0000 0.0000
Ba 0.1806 0.8194 0.0000
Ba 0.8194 0.1806 0.0000
Np 0.3976 0.6024 0.5000
Np 0.6024 0.3976 0.5000
S 0.0974 0.9026 0.5000
S 0.2967 0.7033 0.5000
S 0.3991 0.6009 0.0000
S 0.5000 0.5000 0.5000
S 0.6009 0.3991 0.0000
S 0.7033 0.2967 0.5000
S 0.9026 0.0974 0.5000
```

=====

no.,D(E_F) (states/eV/f.u.),calculated volume (Å³ per atom),raw total energy (Ry per atom)
1,29.72,27.17,-0.5879
2,18.91,31.05,-0.4985
3,17.85,29.02,-0.4897